# 1
CoGeIr3: relaxed, GGA-PBEsol.

Results
Size of the total moment (μB per formula unit): 3.7
ΔH_f (0 K) (eV per atom): 1.58
Crystal system: cubic

a b c (Å): 4.460 4.460 4.460
angles (deg): 90.00 90.00 90.00
Space group Pm-3m (No. 221)
One atom of each set of equivalent atoms:
Co 0.000 0.000 0.000
Ge 0.500 0.500 0.500
Ir 0.000 0.500 0.500

# 2
K3CoGe: relaxed, GGA-PBEsol.

Results
Size of the total moment (μB per formula unit): 4.0
ΔH_f (0 K) (eV per atom): 1.04
Crystal system: cubic

a b c (Å): 5.931 5.931 5.931
angles (deg): 90.00 90.00 90.00
Space group Pm-3m (No. 221)
One atom of each set of equivalent atoms:
K 0.000 0.000 0.500
Co 0.000 0.000 0.000
Ge 0.500 0.500 0.500

# 3
K2CoSiGe: relaxed, GGA-PBEsol.

Results
Size of the total moment (μB per formula unit): 2.2
Formation energy (no corrections) (eV/f.u.): 3.796
Crystal system: tetragonal

a b c (Å): 5.834 5.834 4.323
angles (deg): 90.00 90.00 90.00
Space group P4/mmm (No. 123)
One atom of each set of equivalent atoms:
K 0.000 0.500 0.000
Co 0.000 0.000 0.000
Si 0.000 0.000 0.500
Ge 0.500 0.500 0.500

# 4
La3Co2Ge7: relaxed, GGA-PBEsol.

Results
Size of the total moment (μB per formula unit): 0.0
ΔH_f (0 K) (eV per atom): -0.70
Crystal system: orthorhombic

a b c (Å): 4.237 25.513 4.287
angles (deg): 90.00 90.00 90.00
Space group Cmmm (No. 65)
One atom of each set of equivalent atoms:
La 0.000 0.000 0.000
La 0.000 0.316 0.500
Co 0.000 0.128 0.000
Ge 0.000 0.089 0.500
Ge 0.000 0.219 0.000
Ge 0.000 0.410 0.000
Ge 0.000 0.500 0.500

# 5
LaCo2Ge2: relaxed, GGA-PBEsol.

Results
Size of the total moment (μB per formula unit): 0.0
ΔH_f (0 K) (eV per atom): -0.63
Crystal system: tetragonal

a b c (Å): 4.011 4.011 10.258
angles (deg): 90.00 90.00 90.00
Space group I4/mmm (No. 139)
One atom of each set of equivalent atoms:
La 0.000 0.000 0.000
Co 0.000 0.500 0.250
Ge 0.000 0.000 0.365

# 6
Li2CoGe: relaxed, GGA-PBEsol.

Results
Size of the total moment (μB per formula unit): 0.9
ΔH_f (0 K) (eV per atom): 0.15
Crystal system: tetragonal

a b c (Å): 6.829 6.829 4.607
angles (deg): 90.00 90.00 90.00
Space group I-42d (No. 122)
One atom of each set of equivalent atoms:
Li 0.235 0.250 0.125
Co 0.000 0.000 0.000
Ge 0.000 0.000 0.500

# 7
LiCo6Ge6: relaxed, GGA-PBEsol.

Results
Size of the total moment (μB per formula unit): 0.0
ΔH_f (0 K) (eV per atom): -0.34
Crystal system: hexagonal

a b c (Å): 4.9710 4.9710 7.5797
angles (deg): 90.00 90.00 120.00
Space group P6/mmm (No. 191)
One atom of each set of equivalent atoms:
Li 0.0000 0.0000 0.0000
Co 0.0000 0.5000 0.2497
Ge 0.0000 0.0000 0.3309
Ge 0.3333 0.6667 0.0000
Ge 0.3333 0.6667 0.5000

# 8
LiCo2Ge2: relaxed, GGA-PBEsol.

Results
Size of the total moment (μB per formula unit): 0.0
ΔH_f (0 K) (eV per atom): -0.23
Crystal system: tetragonal

a b c (Å): 3.766 3.766 10.115
angles (deg): 90.00 90.00 90.00
Space group I4/mmm (No. 139)
One atom of each set of equivalent atoms:
Li 0.000 0.000 0.000
Co 0.000 0.500 0.250
Ge 0.000 0.000 0.377

# 9
LiCoNiGe2: relaxed, GGA-PBEsol.

Results
Size of the total moment (μB per formula unit): 1.3
ΔH_f (0 K) (eV per atom): 0.84
Crystal system: tetragonal

a b c (Å): 4.226 4.226 3.768
angles (deg): 90.00 90.00 90.00
Space group P4/mmm (No. 123)
One atom of each set of equivalent atoms:
Li 0.000 0.000 0.000
Co 0.000 0.000 0.500
Ni 0.500 0.500 0.500
Ge 0.000 0.500 0.000

# 10
Li3Co2Ge2O8: relaxed, GGA-PBEsol.

Results
Size of the total moment (μB per formula unit): 7.0
Formation energy (no corrections) (eV/f.u.): -22.882
Crystal system: triclinic

a b c (Å): 5.011 5.521 6.196
angles (deg): 89.62 89.89 89.37
Space group P1 (No. 1)
One atom of each set of equivalent atoms:
Li 0.000 0.000 0.000
Li 0.004 0.997 0.500
Li 0.492 0.672 0.000
Co 0.502 0.164 0.251
Co 0.991 0.508 0.745
Ge 0.498 0.177 0.751
Ge 0.987 0.497 0.249
O 0.077 0.655 0.482
O 0.100 0.654 0.013
O 0.118 0.194 0.249
O 0.142 0.182 0.751
O 0.601 0.009 0.985
O 0.618 0.037 0.515
O 0.620 0.473 0.770
O 0.637 0.477 0.231

# 11
Li2CoGeO4: relaxed, GGA-PBEsol.

Results
Size of the total moment (μB per formula unit): 3.0
Formation energy (no corrections) (eV/f.u.): -13.069
Crystal system: monoclinic
Relative energy among the computed polymorphs (meV/atom): 0

a b c (Å): 5.012 5.432 8.060
angles (deg): 90.00 128.40 90.00
Space group Pc (No. 7)
One atom of each set of equivalent atoms:
Li 0.000 0.165 0.000
Li 0.250 0.331 0.751
Co 0.741 0.334 0.244
Ge 0.493 0.169 0.500
O 0.136 0.176 0.497
O 0.377 0.322 0.270
O 0.609 0.139 0.001
O 0.838 0.324 0.731

# 12
Li2CoGeO4: relaxed, GGA-PBEsol.

Results
Size of the total moment (μB per formula unit): 3.0
Formation energy (no corrections) (eV/f.u.): -13.034
Crystal system: orthorhombic
Relative energy among the computed polymorphs (meV/atom): 4

a b c (Å): 6.227 5.475 5.006
angles (deg): 90.00 90.00 90.00
Space group Pmn2_1 (No. 31)
One atom of each set of equivalent atoms:
Li 0.249 0.166 0.000
Co 0.000 0.333 0.502
Ge 0.000 0.668 0.006
O 0.000 0.362 0.892
O 0.000 0.665 0.360
O 0.232 0.825 0.892

# 13
LuCo2Ge2: relaxed, GGA-PBEsol.

Results
Size of the total moment (μB per formula unit): 0.0
ΔH_f (0 K) (eV per atom): -0.65
Crystal system: tetragonal

a b c (Å): 3.862 3.862 9.902
angles (deg): 90.00 90.00 90.00
Space group I4/mmm (No. 139)
One atom of each set of equivalent atoms:
Lu 0.000 0.000 0.000
Co 0.000 0.500 0.250
Ge 0.000 0.000 0.374

# 14
LuCoGe: relaxed, GGA-PBEsol.

Results
Size of the total moment (μB per formula unit): 0.0
ΔH_f (0 K) (eV per atom): -0.76
Crystal system: orthorhombic

a b c (Å): 6.637 4.117 6.996
angles (deg): 90.00 90.00 90.00
Space group Pnma (No. 62)
One atom of each set of equivalent atoms:
Lu 0.009 0.250 0.198
Co 0.155 0.750 0.435
Ge 0.206 0.250 0.604

# 15
MgCoGe: relaxed, GGA-PBEsol.

Results
Size of the total moment (μB per formula unit): 0.0
ΔH_f (0 K) (eV per atom): -0.33
Crystal system: tetragonal

a b c (Å): 3.846 3.846 6.116
angles (deg): 90.00 90.00 90.00
Space group P4/nmm (No. 129, origin choice 2)
One atom of each set of equivalent atoms:
Mg 0.250 0.250 0.178
Co 0.250 0.750 0.500
Ge 0.250 0.250 0.723

# 16
MgCoGe2O6: relaxed, GGA-PBEsol.

Results
Size of the total moment (μB per formula unit): 3.0
Formation energy (no corrections) (eV/f.u.): -16.930
Crystal system: monoclinic

a b c (Å): 9.683 8.870 5.107
angles (deg): 90.00 100.19 90.00
Space group C2/c (No. 15)
One atom of each set of equivalent atoms:
Mg 0.000 0.230 0.250
Co 0.000 0.417 0.750
Ge 0.198 0.098 0.792
O 0.117 0.249 0.619
O 0.118 0.406 0.130
O 0.137 0.070 0.104

# 17
Mn2CoGe: relaxed, GGA-PBEsol.

Results
Size of the total moment (μB per formula unit): 3.0
ΔH_f (0 K) (eV per atom): -0.15
Crystal system: cubic

a b c (Å): 5.640 5.640 5.640
angles (deg): 90.00 90.00 90.00
Space group F-43m (No. 216)
One atom of each set of equivalent atoms:
Mn 0.000 0.000 0.000
Mn 0.250 0.250 0.250
Co 0.250 0.250 0.750
Ge 0.000 0.000 0.500

# 18
Mn3Co4Ge6: relaxed, GGA-PBEsol.

Results
Size of the total moment (μB per formula unit): 8.4
ΔH_f (0 K) (eV per atom): -0.18
Crystal system: orthorhombic

a b c (Å): 5.000 8.572 7.726
angles (deg): 90.00 90.00 90.00
Space group Cmm2 (No. 35)
One atom of each set of equivalent atoms:
Mn 0.000 0.000 0.000
Mn 0.250 0.250 0.762
Co 0.000 0.500 0.261
Co 0.000 0.500 0.761
Co 0.250 0.250 0.259
Ge 0.000 0.000 0.335
Ge 0.000 0.000 0.673
Ge 0.000 0.333 0.504
Ge 0.000 0.335 0.016

# 19
Mn4CoNi3Ge4: relaxed, GGA-PBEsol.

Results
Size of the total moment (μB per formula unit): 11.8
ΔH_f (0 K) (eV per atom): -0.23
Crystal system: monoclinic

a b c (Å): 5.822 3.631 7.005
angles (deg): 90.00 90.28 90.00
Space group Pm (No. 6)
One atom of each set of equivalent atoms:
Mn 0.000 0.000 0.000
Mn 0.071 0.500 0.633
Mn 0.499 0.000 0.136
Mn 0.572 0.500 0.497
Co 0.890 0.000 0.375
Ni 0.182 0.500 0.257
Ni 0.392 0.000 0.758
Ni 0.681 0.500 0.875
Ge 0.282 0.000 0.442
Ge 0.285 0.500 0.941
Ge 0.786 0.500 0.193
Ge 0.787 0.000 0.689

# 20
PrMnCoGe2: relaxed, GGA-PBEsol.

Results
Size of the total moment (μB per formula unit): 2.1
ΔH_f (0 K) (eV per atom): -0.52
Crystal system: tetragonal

a b c (Å): 4.011 4.011 10.362
angles (deg): 90.00 90.00 90.00
Space group I-4m2 (No. 119)
One atom of each set of equivalent atoms:
Pr 0.000 0.000 0.000
Mn 0.000 0.500 0.250
Co 0.000 0.500 0.750
Ge 0.000 0.000 0.371